P.
! BeCu2Au5 | Alexandria via LeMat-Bulk | PBE | optimized geometry; values from VASP
&SYSTEM
  ibrav = 0, nat = 16, ntyp = 3
/
ATOMIC_SPECIES
Be 9.01 Be.upf
Cu 63.55 Cu.upf
Au 196.97 Au.upf
CELL_PARAMETERS angstrom
-1.965 1.678 3.180
-4.842 -0.341 -2.812
-1.701 -9.794 4.116
ATOMIC_POSITIONS angstrom
Be -0.851 -4.897 2.058
Be -2.421 -0.170 -1.406
Cu -3.231 -2.768 2.104
Cu -5.277 -5.689 2.381
Cu -3.218 -7.604 4.663
Cu -5.290 -0.853 -0.179
Au -2.691 -0.212 1.089
Au -5.817 -8.245 3.396
Au -5.636 -3.395 0.949
Au -2.873 -5.062 3.536
Au -5.696 -7.415 0.393
Au -0.848 -2.720 0.911
Au -3.359 -7.733 2.005
Au -3.185 -2.401 -0.701
Au -3.272 -5.067 0.652
Au 0.000 0.000 0.000
! - total magnetization (Bohr magnetons per cell) = 0.0

Q.
! BeCu2Au5 | Alexandria via LeMat-Bulk | PBE | optimized geometry; values from VASP
&SYSTEM
  ibrav = 0, nat = 16, ntyp = 3
/
ATOMIC_SPECIES
Be 9.01 Be.upf
Cu 63.55 Cu.upf
Au 196.97 Au.upf
CELL_PARAMETERS angstrom
3.360 0.000 0.000
-1.680 4.580 0.000
0.000 0.000 16.070
ATOMIC_POSITIONS angstrom
Be 1.680 2.880 12.053
Be 0.000 1.700 4.018
Cu 1.680 2.639 5.360
Cu 1.680 2.639 2.675
Cu 0.000 1.941 10.710
Cu 0.000 1.941 13.395
Au 1.680 3.867 14.249
Au 1.680 3.867 9.857
Au 0.000 3.295 7.455
Au 0.000 3.295 0.580
Au 0.000 4.316 4.018
Au 1.680 0.265 12.053
Au 1.680 1.285 8.615
Au 1.680 1.285 15.490
Au 0.000 0.714 1.822
Au 0.000 0.714 6.214
! - total magnetization (Bohr magnetons per cell) = 0.0

The most stable arrangement is P, and the next structure is 14 meV per atom less stable.